# CrSe2NF | the Alexandria database | GGA+U | optimized geometry
# excess energy over the best structure of this formula in the dataset	0.561	eV/atom
# energy	-3.903	eV per atom
# D(E_F)	1.942	states/eV per cell
data_CrSe2NF
_cell_length_a 4.405
_cell_length_b 4.405
_cell_length_c 4.673
_cell_angle_alpha 90.00
_cell_angle_beta 90.00
_cell_angle_gamma 90.00
_space_group_name_H-M_alt 'P 1'
_space_group_IT_number 1
loop_
_space_group_symop_operation_xyz
'x,y,z'
loop_
_atom_site_label
_atom_site_fract_x
_atom_site_fract_y
_atom_site_fract_z
Cr1 0.000 0.000 0.000
Se1 0.000 0.500 0.500
Se2 0.500 0.000 0.500
N1 0.500 0.500 0.000
F1 0.500 0.500 0.500